VASP calculation (PBE-GGA) on Ca2SnC after structural relaxation.

For the energy of formation, the calculation gives 427.2 meV/atom. As for the total energy: -3.880 eV per atom.

It has space group I-42d (No. 122), with a = 7.819 Å, b = 7.819 Å, c = 6.440 Å, α = 90.00°, β = 90.00° and γ = 90.00°. The inequivalent atoms are Ca at (0.159, 0.250, 0.125), Sn at (0.000, 0.000, 0.500) and C at (0.000, 0.000, 0.000).